1.
The following is a DFT calculation (PBE-GGA) of KReMo2 after structural relaxation.

Properties
- DFT formation energy: 83.7 kJ per mole of atoms
- Theoretical density: 8.59 g cm⁻³
- VASP energy: -31.739 eV for the cell shown
- E above lowest polymorph: 3.06 kcal/mol of atoms

Lattice parameters (Å, degrees): 2.818 2.818 10.148 90.00 90.00 90.00
Space group P4/mmm (No. 123)
One atom of each set of equivalent atoms:
K 0.000 0.000 0.000 (multiplicity 1)
Re 0.000 0.000 0.500 (multiplicity 1)
Mo 0.500 0.500 0.315 (multiplicity 2)

---

2.
The following is a DFT calculation (PBE-GGA) of KRe2Mo after structural relaxation.

Properties
- DFT formation energy: 102.0 kJ per mole of atoms
- Theoretical density: 8.89 g cm⁻³
- VASP energy: -65.192 eV for the cell shown
- E above lowest polymorph: 7.26 kcal/mol of atoms

Lattice parameters (Å, degrees): 9.533 2.950 6.808 90.00 98.04 90.00
Space group Cm (No. 8)
One atom of each set of equivalent atoms:
K 0.000 0.000 0.000 (multiplicity 2)
Re 0.282 0.500 0.368 (multiplicity 2)
Re 0.496 0.000 0.488 (multiplicity 2)
Mo 0.212 0.000 0.629 (multiplicity 2)

---

3.
The following is a DFT calculation (PBE-GGA) of KRe2Mo after structural relaxation.

Properties
- DFT formation energy: 71.6 kJ per mole of atoms
- Theoretical density: 11.63 g cm⁻³
- VASP energy: -67.710 eV for the cell shown
- E above lowest polymorph: 0.00 kcal/mol of atoms

Lattice parameters (Å, degrees): 3.097 4.492 10.415 90.00 90.00 90.00
Space group Cmmm (No. 65)
One atom of each set of equivalent atoms:
K 0.000 0.000 0.000 (multiplicity 2)
Re 0.000 0.500 0.290 (multiplicity 4)
Mo 0.000 0.000 0.500 (multiplicity 2)

---

> The highest DFT formation energy belongs to which entry?

number 2